## CoSb2IBr (SCAN)

Data for a crystal of CoSb2IBr relaxed with PBEsol.

Calculated values
VASP energy = -28.18 eV per atom
Energy relative to the elements, uncorrected = 1.43 eV per atom

extended XYZ file:
```
5
Lattice="-4.0995 -0.5634 3.5728 -2.1480 -3.9656 -3.0900 3.0085 -3.8466 2.8453" Properties=species:S:1:pos:R:3 pbc="T T T"
Br 0.0000 0.0000 0.0000
I 1.5042 -1.9233 1.4227
Co -1.6195 -4.1878 1.6641
Sb -1.0740 -1.9828 -1.5450
Sb -2.0497 -0.2817 1.7864
```

=====

## Sr2GaSi (SCAN)

Data for a crystal of Sr2GaSi relaxed with PBEsol.

Calculated values
VASP energy = -18.24 eV per atom
Energy relative to the elements, uncorrected = -0.51 eV per atom

extended XYZ file:
```
4
Lattice="4.1870 0.0000 0.0000 0.0000 4.6516 0.0000 0.0000 -2.3258 5.8474" Properties=species:S:1:pos:R:3 pbc="T T T"
Sr 0.0000 0.0000 4.1893
Si 0.0000 0.0000 0.7467
Ga 2.0935 2.3258 5.1243
Sr 2.0935 2.3258 1.6343
```

=====

## NaAlSiO4 (SCAN)

Data for a crystal of NaAlSiO4 relaxed with PBEsol.

Calculated values
VASP energy = -9.69 eV per atom
Energy above the most stable polymorph in this dataset = 17 meV/atom
Energy relative to the elements, uncorrected = -2.99 eV per atom

extended XYZ file:
```
28
Lattice="-7.2614 -0.1934 1.2229 1.2060 -2.7487 6.7269 0.2797 6.8314 2.7413" Properties=species:S:1:pos:R:3 pbc="T T T"
O -3.7533 -1.7632 5.3243
O -4.8476 -1.9557 7.9133
O -2.6870 -0.2154 7.4230
Al -0.4846 3.3476 7.2289
O -0.8585 0.5781 1.5891
Si -2.9442 5.2645 6.5312
O -5.3015 0.4527 6.3676
O -1.3431 2.0231 7.9347
O 0.7437 2.8164 6.0876
O -4.6267 4.0892 2.7234
Al -5.2336 4.1453 4.3731
Na -1.0301 -0.4945 5.8579
Si -0.1296 0.0872 0.2398
O 0.3444 4.3252 8.4332
O -2.3649 2.6989 2.8655
Si -6.3349 1.6375 6.0189
Na -1.1270 4.1850 4.1031
O -4.0482 4.7248 5.4905
Si -2.1427 0.7896 8.5921
O -5.7774 2.5179 4.7591
O -0.5315 1.2070 4.3987
Al -1.6412 1.1052 3.0380
O -6.6723 5.1563 4.3402
Na -4.4566 3.0011 8.2495
O -1.5454 4.4383 6.3467
O -2.9356 0.0215 3.5312
Al -4.1919 -0.8194 6.7420
Na -4.9376 1.0870 3.1715
```

=====

## Al6Ag5 (SCAN)

Data for a crystal of Al6Ag5 relaxed with PBEsol.

Calculated values
VASP energy = -18.56 eV per atom
Energy above the most stable polymorph in this dataset = 0 meV/atom
Formation energy = -69 meV/atom

extended XYZ file:
```
11
Lattice="2.8724 0.0000 0.0000 -1.4362 4.6036 -0.0212 0.0000 -0.2201 13.4733" Properties=species:S:1:pos:R:3 pbc="T T T"
Al 1.4362 3.3715 0.5677
Ag 0.0000 2.9497 2.9792
Ag 1.4362 -0.1101 6.7367
Al 1.4362 0.8671 1.9053
Ag 1.4362 1.4338 10.4729
Al 0.0000 0.3025 4.3774
Al 0.0000 1.0121 12.8845
Ag 1.4362 2.3610 5.4342
Al 0.0000 3.5164 11.5469
Al 1.4362 4.0810 9.0748
Ag 0.0000 2.0225 8.0179
```

=====

## RbAuF2 (SCAN)

Data for a crystal of RbAuF2 relaxed with PBEsol.

Calculated values
VASP energy = -26.02 eV per atom
Energy relative to the elements, uncorrected = -1.78 eV per atom

extended XYZ file:
```
4
Lattice="4.2214 0.0302 -0.0019 1.9947 3.6484 0.0194 1.9757 1.1967 6.5506" Properties=species:S:1:pos:R:3 pbc="T T T"
F 1.9980 1.2089 4.5702
Au 8.1907 4.8748 6.5681
F 6.1917 3.6652 1.9980
Rb 4.0948 2.4371 3.2840
```

=====

## CoIOF2 (SCAN)

Data for a crystal of CoIOF2 relaxed with PBEsol.

Calculated values
VASP energy = -13.36 eV per atom
Energy above the most stable polymorph in this dataset = 1029 meV/atom
Energy relative to the elements, uncorrected = 0.11 eV per atom

extended XYZ file:
```
5
Lattice="3.9767 0.0000 0.0000 0.0000 4.7509 0.0000 0.0000 0.0000 4.7509" Properties=species:S:1:pos:R:3 pbc="T T T"
I 0.0000 0.0000 0.0000
F 0.0000 0.0000 2.3755
Co 1.9883 2.3755 2.3755
O 1.9883 0.0000 0.0000
F 0.0000 2.3755 0.0000
```

=====

## AlGeN2O (SCAN)

Data for a crystal of AlGeN2O relaxed with PBEsol.

Calculated values
VASP energy = -10.24 eV per atom
Energy relative to the elements, uncorrected = 0.09 eV per atom

extended XYZ file:
```
5
Lattice="3.6339 0.0000 0.0000 0.0000 3.8397 0.0000 0.0000 0.0000 3.8397" Properties=species:S:1:pos:R:3 pbc="T T T"
N 0.0000 0.0000 1.9198
N 0.0000 1.9198 0.0000
O 1.8170 0.0000 0.0000
Al 0.0000 0.0000 0.0000
Ge 1.8170 1.9198 1.9198
```

=====

## NbSiOs (SCAN)

Data for a crystal of NbSiOs relaxed with PBEsol.

Calculated values
VASP energy = -38.89 eV per atom
Energy relative to the elements, uncorrected = -0.55 eV per atom

extended XYZ file:
```
6
Lattice="3.8287 0.0000 0.0000 1.9144 4.6098 0.0022 1.9144 0.8204 5.0489" Properties=species:S:1:pos:R:3 pbc="T T T"
Os 3.8287 3.9774 2.8991
Si 1.9144 0.7293 0.9525
Si 5.7431 4.7009 4.0987
Nb 1.9144 3.3215 0.9247
Os 3.8287 1.4528 2.1520
Nb 5.7431 2.1087 4.1264
```

=====

## K2MgSc (SCAN)

Data for a crystal of K2MgSc relaxed with PBEsol.

Calculated values
VASP energy = -8.52 eV per atom
Formation energy = 450 meV/atom

extended XYZ file:
```
4
Lattice="-3.3749 0.1566 -0.4667 0.9292 -1.4199 5.2662 0.1626 9.1536 1.8967" Properties=species:S:1:pos:R:3 pbc="T T T"
Mg -1.6080 5.2644 0.9324
K -2.2839 7.4055 6.5387
Sc -0.2492 5.5920 3.6787
K -2.0315 2.1740 2.9577
```

=====

## Sr2ScSnPb (SCAN)

Data for a crystal of Sr2ScSnPb relaxed with PBEsol.

Calculated values
VASP energy = -33.72 eV per atom
Formation energy = 379 meV/atom

extended XYZ file:
```
5
Lattice="-0.3344 4.6556 2.7853 -5.7510 0.3639 -1.2988 -1.2989 -3.0269 4.9035" Properties=species:S:1:pos:R:3 pbc="T T T"
Sr -2.8755 0.1820 -0.6494
Sc 0.0000 0.0000 0.0000
Sn -3.6922 0.9963 3.1950
Pb -0.1672 2.3278 1.3926
Sr -0.6495 -1.5134 2.4517
```

=====

## BaCuPb2 (SCAN)

Data for a crystal of BaCuPb2 relaxed with PBEsol.

Calculated values
VASP energy = -51.78 eV per atom
Formation energy = -206 meV/atom

extended XYZ file:
```
4
Lattice="4.5582 0.0000 0.0000 0.0000 4.7733 0.0000 -2.2791 -2.3866 5.5999" Properties=species:S:1:pos:R:3 pbc="T T T"
Pb 2.2791 2.3866 4.7354
Cu 0.0000 2.3866 3.3733
Pb 2.2791 0.0000 2.7793
Ba 2.2791 2.3866 0.3118
```

=====

## TcRu3Au (SCAN)

Data for a crystal of TcRu3Au relaxed with PBEsol.

Calculated values
VASP energy = -39.25 eV per atom
Formation energy = 2490 meV/atom

extended XYZ file:
```
5
Lattice="4.6917 0.0000 0.0000 0.0000 4.6917 0.0000 0.0000 0.0000 4.6917" Properties=species:S:1:pos:R:3 pbc="T T T"
Ru 0.0000 0.0000 2.3458
Au 0.0000 0.0000 0.0000
Tc 2.3458 2.3458 2.3458
Ru 0.0000 2.3458 0.0000
Ru 2.3458 0.0000 0.0000
```